1.
DFT (PBEsol) results for a relaxed Sr2MgRe crystal.

Geometry as POSCAR:
```
Sr2MgRe
1.0
0.000 3.685 3.685
3.685 0.000 3.685
3.685 3.685 0.000
Sr Mg Re
2 1 1
Direct
0.000 0.000 0.000
0.250 0.250 0.250
0.750 0.750 0.750
0.500 0.500 0.500
```

Energy relative to the elements (eV per atom): 0.9009
D(E_F) (states/eV per atom): 1.322
Excess energy over the best structure of this formula in the dataset (eV/atom): 0.0978
DFT total energy (eV/f.u.): -15.13
Space-group type: F-43m, No. 216

---

2.
DFT (PBEsol) results for a relaxed MgTaRe2 crystal.

Geometry as POSCAR:
```
MgTaRe2
1.0
4.396 0.000 0.000
0.000 4.396 0.000
0.000 0.000 3.235
Mg Ta Re
1 1 2
Direct
0.000 0.000 0.000
0.500 0.500 0.000
0.000 0.500 0.500
0.500 0.000 0.500
```

Energy relative to the elements (eV per atom): 0.2506
D(E_F) (states/eV per atom): 1.268
DFT total energy (eV/f.u.): -39.93
Space-group type: P4/mmm, No. 123